(1)
Computed, not measured: Er4HgPbC after structural relaxation at the PBE level of DFT.

Calculated values
Energy relative to the elements = -43 kJ per mole of atoms
M_tot = 0.00 μB/atom
Volume = 178 Å³/f.u.

abc: 6.8646 15.1307 6.8430
angles: 90.00 90.00 90.00
Space group Cmcm (No. 63)
Inequivalent atoms, fractional coordinates:
Er 0.0000 0.0834 0.2500 (multiplicity 4)
Er 0.0000 0.4090 0.2500 (multiplicity 4)
Er 0.2500 0.2500 0.0000 (multiplicity 8)
Hg 0.0000 0.1163 0.7500 (multiplicity 4)
Pb 0.0000 0.3867 0.7500 (multiplicity 4)
C 0.0000 0.2486 0.2500 (multiplicity 4)


(2)
Computed, not measured: Pm2ErHgC after structural relaxation at the PBE level of DFT.

Calculated values
Energy relative to the elements = -28 kJ per mole of atoms
M_tot = 0.00 μB/atom
Volume = 125 Å³/f.u.

abc: 5.1083 5.1083 4.7842
angles: 90.00 90.00 90.00
Space group P4/mmm (No. 123)
Inequivalent atoms, fractional coordinates:
Pm 0.0000 0.5000 0.0000 (multiplicity 2)
Er 0.0000 0.0000 0.5000 (multiplicity 1)
Hg 0.5000 0.5000 0.5000 (multiplicity 1)
C 0.0000 0.0000 0.0000 (multiplicity 1)


(3)
Computed, not measured: PmEr2HgC after structural relaxation at the PBE level of DFT.

Calculated values
Energy relative to the elements = -33 kJ per mole of atoms
M_tot = 0.00 μB/atom
Volume = 120 Å³/f.u.

abc: 4.8348 4.8348 5.1134
angles: 90.00 90.00 90.00
Space group P4/mmm (No. 123)
Inequivalent atoms, fractional coordinates:
Pm 0.0000 0.0000 0.0000 (multiplicity 1)
Er 0.0000 0.5000 0.5000 (multiplicity 2)
Hg 0.5000 0.5000 0.0000 (multiplicity 1)
C 0.0000 0.0000 0.5000 (multiplicity 1)


(4)
Computed, not measured: Er2HgRuC after structural relaxation at the PBE level of DFT.

Calculated values
Energy relative to the elements = -46 kJ per mole of atoms
M_tot = 0.00 μB/atom
Volume = 97 Å³/f.u.

abc: 4.9617 4.9617 3.9241
angles: 90.00 90.00 90.00
Space group P4/mmm (No. 123)
Inequivalent atoms, fractional coordinates:
Er 0.0000 0.5000 0.0000 (multiplicity 2)
Hg 0.0000 0.0000 0.5000 (multiplicity 1)
Ru 0.5000 0.5000 0.5000 (multiplicity 1)
C 0.5000 0.5000 0.0000 (multiplicity 1)


Number 1: DOS at the Fermi energy 0.426 states/eV/atom. Number 2: DOS at the Fermi energy 1.026 states/eV/atom. Number 3: DOS at the Fermi energy 1.207 states/eV/atom. Number 4: DOS at the Fermi energy 0.307 states/eV/atom.